Record 1
Entry from Alexandria via LeMat-Bulk: NiTeH after structural relaxation (PBE).

Crystal system: monoclinic
Total energy: -0.15117 hartree per atom

Cell: 2.9888 5.5244 6.6456 Å, 115.08 103.00 90.00°
Positions (direct):
Ni1 0.2538 0.8148 0.5076
Ni2 0.7462 0.1852 0.4924
Te1 0.8912 0.6966 0.7824
Te2 0.1088 0.3034 0.2176
H1 0.6912 0.8505 0.3824
H2 0.3088 0.1495 0.6176

***

Record 2
Entry from Alexandria via LeMat-Bulk: As2RuWSe after structural relaxation (PBE).

Crystal system: tetragonal
ΔE_f (raw): 1.24 eV/atom
Energy above the most stable polymorph in this dataset: 99 meV per atom

Cell: 4.6144 4.6144 5.1685 Å, 90.00 90.00 90.00°
Last column: magnetic moment on the atom in μB.
Positions (direct):
Ru1 0.0000 0.0000 0.0000  0.10
As1 0.0000 0.5000 0.0000  -0.09
As2 0.5000 0.0000 0.0000  -0.09
Se1 0.0000 0.0000 0.5000  -0.13
W1 0.5000 0.5000 0.5000  2.77

***

Record 3
Entry from Alexandria via LeMat-Bulk: CaZn2W after structural relaxation (PBE).

ΔE_f: 399 meV/atom
Crystal system: monoclinic
Energy above the most stable polymorph in this dataset: 138 meV per atom

Cell: 5.4149 5.4149 5.0516 Å, 71.41 71.41 30.59°
Positions (direct):
Zn1 0.0146 0.0146 0.0518
Zn2 0.7294 0.7294 0.7168
Ca1 0.4876 0.4876 0.5500
W1 0.2683 0.2683 0.1814

***

Record 4
Entry from Alexandria via LeMat-Bulk: La2GeAs2 after structural relaxation (PBE).

ΔE_f: -1018 meV/atom
Crystal system: tetragonal
Energy above the most stable polymorph in this dataset: 0 meV per atom

Cell: 7.8156 7.8156 4.2318 Å, 90.00 90.00 90.00°
Positions (direct):
As1 0.3463 0.8463 0.0000
As2 0.8463 0.6537 0.0000
As3 0.6537 0.1537 0.0000
As4 0.1537 0.3463 0.0000
Ge1 0.0000 0.0000 0.0000
Ge2 0.5000 0.5000 0.0000
La1 0.1582 0.6582 0.5000
La2 0.6582 0.8418 0.5000
La3 0.8418 0.3418 0.5000
La4 0.3418 0.1582 0.5000

***

Record 5
Entry from Alexandria via LeMat-Bulk: DyTmMgIr after structural relaxation (PBE).

ΔE_f: -480 meV/atom
Crystal system: cubic

Cell: 4.9912 4.9912 4.9912 Å, 60.00 60.00 60.00°
Positions (direct):
Mg1 0.0000 0.0000 0.0000
Ir1 0.5000 0.5000 0.5000
Tm1 0.2500 0.2500 0.2500
Dy1 0.7500 0.7500 0.7500

***

Record 6
Entry from Alexandria via LeMat-Bulk: Pm3TmSb3 after structural relaxation (PBE).

Crystal system: trigonal
ΔE_f (raw): -0.92 eV/atom
Energy above the most stable polymorph in this dataset: 94 meV per atom

Cell: 9.0927 9.0927 8.1760 Å, 56.22 56.22 60.00°
Positions (direct):
Pm1 0.3460 0.8224 0.7400
Pm2 0.8224 0.0916 0.7400
Pm3 0.0916 0.3460 0.7400
Pm4 0.9084 0.6540 0.2600
Pm5 0.1776 0.9084 0.2600
Pm6 0.6540 0.1776 0.2600
Tm1 0.3327 0.3327 0.0018
Tm2 0.6673 0.6673 0.9982
Sb1 0.3079 0.5295 0.2364
Sb2 0.9263 0.3079 0.2364
Sb3 0.5295 0.9263 0.2364
Sb4 0.4705 0.0737 0.7637
Sb5 0.0737 0.6921 0.7637
Sb6 0.6921 0.4705 0.7637